(1)
DFT (GGA-PBE) results for a geometry-optimized Tb6TlHg2 structure.

Distance to the lowest polymorph of the same formula ... 14 meV/atom
ΔE_f ... -0.26 eV/atom
E_tot ... -3.675 eV per atom

Lattice parameters (Å, degrees): 8.8371 8.8371 8.8371 107.32 111.04 110.08
With the nearest neighbours (Å) after each atom.
Atoms (fractional coordinates):
1 Hg 0.5000 0.3632 0.8632  1 Hg 2.87, 2 Tb 2.95
2 Hg 0.6505 0.0000 0.6505  8 Tb 2.98-3.25, 1 Hg 3.01
3 Hg 0.3495 0.0000 0.3495  8 Tb 2.98-3.25, 1 Hg 3.01
4 Hg 0.5000 0.6368 0.1368  1 Hg 2.87, 2 Tb 2.95
5 Tb 0.7991 0.7529 0.5520  2 Hg 2.98-3.23, 2 Tl 3.28-3.33
6 Tb 0.7183 0.0416 0.3233  3 Hg 2.95-3.25
7 Tb 0.7183 0.3950 0.6767  3 Hg 2.95-3.25
8 Tb 0.2009 0.2471 0.4480  2 Hg 2.98-3.23, 2 Tl 3.28-3.33
9 Tb 0.0925 0.2721 0.8204  3 Hg 3.24-3.26, 1 Tl 3.29, 1 Tb 3.59
10 Tb 0.4516 0.2721 0.1796  3 Hg 3.24-3.26, 1 Tl 3.29, 1 Tb 3.59
11 Tb 0.5484 0.7279 0.8204  3 Hg 3.24-3.26, 1 Tl 3.29, 1 Tb 3.59
12 Tb 0.2009 0.7529 0.9538  2 Hg 2.98-3.23, 2 Tl 3.28-3.33
13 Tb 0.7991 0.2471 0.0462  2 Hg 2.98-3.23, 2 Tl 3.28-3.33
14 Tb 0.2817 0.6050 0.3233  3 Hg 2.95-3.25
15 Tb 0.2817 0.9584 0.6767  3 Hg 2.95-3.25
16 Tb 0.9075 0.7279 0.1796  3 Hg 3.24-3.26, 1 Tl 3.29, 1 Tb 3.59
17 Tl 0.0000 0.5000 0.5000  8 Tb 3.33-3.40
18 Tl 0.0000 0.0000 0.0000  8 Tb 3.28-3.29, 2 Hg 3.50

=====

(2)
DFT (GGA-PBE) results for a geometry-optimized Pr2SmAs structure.

ΔE_f ... -0.57 eV/atom
E_tot ... -5.300 eV per atom

Lattice parameters (Å, degrees): 4.0125 4.0125 9.9432 78.36 78.36 60.00
With the nearest neighbours (Å) after each atom.
Atoms (fractional coordinates):
1 Pr 0.2709 0.2709 0.1874  3 As 2.94
2 Pr 0.7291 0.7291 0.8126  3 As 2.94
3 As 0.0000 0.0000 0.0000  6 Pr 2.94
4 Sm 0.5000 0.5000 0.5000  6 Pr 3.81, 6 Sm 4.01